Compound: Pu2RuCl
Source: Alexandria
Functional: PBE-GGA
Structure: relaxed

Lattice parameters (Å, degrees): 7.801 7.801 7.801 28.92 28.92 28.92
Positions (direct):
1 Pu 0.236 0.236 0.236
2 Pu 0.764 0.764 0.764
3 Ru 0.500 0.500 0.500
4 Cl 0.000 0.000 0.000

Calculated values
E_tot, eV per atom: -10.54
Calculated volume, Å³ per cell: 98.2
Total magnetic moment, μB/atom: 2.547



Compound: BeCu2Ru
Source: Alexandria
Functional: PBE-GGA
Structure: relaxed

Lattice parameters (Å, degrees): 2.549 2.549 7.862 90.00 90.00 111.52
Positions (direct):
1 Be 0.000 0.000 0.000
2 Cu 0.000 0.000 0.512
3 Cu 0.500 0.500 0.774
4 Ru 0.500 0.500 0.230

Calculated values
DFT formation energy, eV/atom: 0.11
Calculated volume, Å³ per cell: 47.5
Total magnetic moment, μB/atom: 0.000



Compound: Ho2Zn2InPt5
Source: Alexandria
Functional: PBE-GGA
Structure: relaxed

Lattice parameters (Å, degrees): 9.648 9.648 3.855 90.00 90.00 90.00
Positions (direct):
1 Ho 0.176 0.324 0.000
2 Ho 0.324 0.824 0.000
3 Ho 0.676 0.176 0.000
4 Ho 0.824 0.676 0.000
5 Zn 0.121 0.621 0.000
6 Zn 0.379 0.121 0.000
7 Zn 0.621 0.879 0.000
8 Zn 0.879 0.379 0.000
9 In 0.000 0.000 0.000
10 In 0.500 0.500 0.000
11 Pt 0.000 0.500 0.500
12 Pt 0.068 0.792 0.500
13 Pt 0.208 0.068 0.500
14 Pt 0.292 0.568 0.500
15 Pt 0.432 0.292 0.500
16 Pt 0.500 0.000 0.500
17 Pt 0.568 0.708 0.500
18 Pt 0.708 0.432 0.500
19 Pt 0.792 0.932 0.500
20 Pt 0.932 0.208 0.500

Calculated values
DFT formation energy, eV/atom: -0.84
Calculated volume, Å³ per cell: 358.8
Total magnetic moment, μB/atom: 0.000



Compound: Sr7SnP6
Source: Alexandria
Functional: PBE-GGA
Structure: relaxed

Lattice parameters (Å, degrees): 11.337 11.337 11.337 139.07 100.72 93.35
Positions (direct):
1 Sr 0.049 0.216 0.265
2 Sr 0.086 0.493 0.838
3 Sr 0.155 0.993 0.407
4 Sr 0.250 0.250 0.000
5 Sr 0.345 0.752 0.838
6 Sr 0.414 0.252 0.407
7 Sr 0.451 0.716 0.167
8 Sr 0.549 0.284 0.833
9 Sr 0.586 0.748 0.593
10 Sr 0.655 0.248 0.162
11 Sr 0.750 0.750 0.000
12 Sr 0.845 0.007 0.593
13 Sr 0.914 0.507 0.162
14 Sr 0.951 0.784 0.735
15 Sn 0.250 0.750 0.500
16 Sn 0.750 0.250 0.500
17 P 0.067 0.882 0.588
18 P 0.155 0.890 0.045
19 P 0.206 0.618 0.185
20 P 0.294 0.479 0.412
21 P 0.345 0.390 0.734
22 P 0.433 0.021 0.815
23 P 0.567 0.979 0.185
24 P 0.655 0.610 0.266
25 P 0.706 0.521 0.588
26 P 0.794 0.382 0.815
27 P 0.845 0.110 0.955
28 P 0.933 0.118 0.412

Calculated values
DFT formation energy, eV/atom: -0.94
Calculated volume, Å³ per cell: 892.0
Total magnetic moment, μB/atom: 0.000



Compound: CaHg2MoRh
Source: Alexandria
Functional: PBE-GGA
Structure: relaxed

Lattice parameters (Å, degrees): 5.327 5.327 4.660 90.00 90.00 90.00
Positions (direct):
1 Ca 0.000 0.000 0.000
2 Hg 0.000 0.500 0.500
3 Hg 0.500 0.000 0.500
4 Mo 0.500 0.500 0.500
5 Rh 0.500 0.500 0.000

Calculated values
DFT formation energy, eV/atom: 0.45
Calculated volume, Å³ per cell: 132.2
Total magnetic moment, μB/atom: 0.000



Compound: AgBiS2O8
Source: Alexandria
Functional: PBE-GGA
Structure: relaxed

Lattice parameters (Å, degrees): 8.029 8.029 8.029 37.05 37.05 37.05
Positions (direct):
1 Ag 0.000 0.000 0.000
2 Bi 0.500 0.500 0.500
3 S 0.254 0.254 0.254
4 S 0.746 0.746 0.746
5 O 0.039 0.786 0.486
6 O 0.214 0.514 0.961
7 O 0.319 0.319 0.319
8 O 0.486 0.039 0.786
9 O 0.514 0.961 0.214
10 O 0.681 0.681 0.681
11 O 0.786 0.486 0.039
12 O 0.961 0.214 0.514

Calculated values
E_tot, eV per atom: -5.74
Calculated volume, Å³ per cell: 168.4
Total magnetic moment, μB/atom: 0.000



Compound: Ca3CuS
Source: Alexandria
Functional: PBE-GGA
Structure: relaxed

Lattice parameters (Å, degrees): 5.352 5.352 5.352 90.00 90.00 90.00
Positions (direct):
1 Ca 0.000 0.000 0.500
2 Ca 0.000 0.500 0.000
3 Ca 0.500 0.000 0.000
4 Cu 0.500 0.500 0.500
5 S 0.000 0.000 0.000

Calculated values
E_tot, eV per atom: -3.39
Calculated volume, Å³ per cell: 153.3
Total magnetic moment, μB/atom: 0.000



Compound: K2MoSe5
Source: Alexandria
Functional: PBE-GGA
Structure: relaxed

Lattice parameters (Å, degrees): 7.393 7.393 7.393 132.48 117.48 82.14
Positions (direct):
1 K 0.000 0.000 0.000
2 K 0.452 0.452 0.000
3 Mo 0.671 0.171 0.500
4 Se 0.465 0.965 0.500
5 Se 0.504 0.501 0.535
6 Se 0.504 0.969 0.002
7 Se 0.967 0.501 0.998
8 Se 0.967 0.969 0.465

Calculated values
E_tot, eV per atom: -4.40
Calculated volume, Å³ per cell: 254.8
Total magnetic moment, μB/atom: 0.000



Compound: Er2SeN
Source: Alexandria
Functional: PBE-GGA
Structure: relaxed

Lattice parameters (Å, degrees): 3.856 8.666 5.577 90.00 90.00 90.00
Positions (direct):
1 Er 0.000 0.079 0.000
2 Er 0.000 0.661 0.854
3 Er 0.500 0.339 0.354
4 Er 0.500 0.921 0.500
5 Se 0.000 0.344 0.720
6 Se 0.500 0.656 0.220
7 N 0.000 0.897 0.711
8 N 0.500 0.103 0.211

Calculated values
E_tot, eV per atom: -6.69
Calculated volume, Å³ per cell: 186.4
Total magnetic moment, μB/atom: 0.072



Compound: Y2BiPt2
Source: Alexandria
Functional: PBE-GGA
Structure: relaxed

Lattice parameters (Å, degrees): 8.515 8.515 8.515 153.06 153.06 38.46
Positions (direct):
1 Y 0.123 0.123 0.000
2 Y 0.877 0.877 0.000
3 Bi 0.500 0.500 0.000
4 Pt 0.250 0.750 0.500
5 Pt 0.750 0.250 0.500

Calculated values
DFT formation energy, eV/atom: -0.86
Calculated volume, Å³ per cell: 126.5
Total magnetic moment, μB/atom: 0.000



Compound: SiH2Pd8
Source: Alexandria
Functional: PBE-GGA
Structure: relaxed

Lattice parameters (Å, degrees): 2.914 7.097 7.128 101.86 90.08 101.74
Positions (direct):
1 Si 0.000 0.000 0.000
2 H 0.230 0.454 0.782
3 H 0.770 0.546 0.218
4 Pd 0.102 0.204 0.616
5 Pd 0.222 0.445 0.324
6 Pd 0.353 0.703 0.030
7 Pd 0.453 0.906 0.726
8 Pd 0.547 0.094 0.274
9 Pd 0.647 0.297 0.970
10 Pd 0.778 0.555 0.676
11 Pd 0.898 0.796 0.384

Calculated values
E_tot, eV per atom: -5.11
Calculated volume, Å³ per cell: 141.1
Total magnetic moment, μB/atom: 0.000



Compound: Hf5MoPb2
Source: Alexandria
Functional: PBE-GGA
Structure: relaxed

Lattice parameters (Å, degrees): 7.320 7.320 12.202 90.00 90.00 139.87
Positions (direct):
1 Hf 0.107 0.893 0.617
2 Hf 0.107 0.893 0.883
3 Hf 0.308 0.692 0.507
4 Hf 0.308 0.692 0.993
5 Hf 0.321 0.679 0.250
6 Hf 0.679 0.321 0.750
7 Hf 0.692 0.308 0.007
8 Hf 0.692 0.308 0.493
9 Hf 0.893 0.107 0.117
10 Hf 0.893 0.107 0.383
11 Mo 0.264 0.736 0.750
12 Mo 0.736 0.264 0.250
13 Pb 0.110 0.890 0.127
14 Pb 0.110 0.890 0.373
15 Pb 0.890 0.110 0.627
16 Pb 0.890 0.110 0.873

Calculated values
DFT formation energy, eV/atom: 0.43
Calculated volume, Å³ per cell: 421.4
Total magnetic moment, μB/atom: 0.000